VASP calculation (GGA-PBE) on a relaxed Ho2ZnIn3 crystal.

Structure (CIF):
```
data_Ho2ZnIn3
_cell_length_a 3.581
_cell_length_b 4.785
_cell_length_c 8.385
_cell_angle_alpha 90.00
_cell_angle_beta 90.00
_cell_angle_gamma 90.00
_symmetry_space_group_name_H-M 'P m m 2'
_symmetry_Int_Tables_number 25
_symmetry_space_group_name_Hall 'P 2 -2'
loop_
_atom_site_label
_atom_site_type_symbol
_atom_site_fract_x
_atom_site_fract_y
_atom_site_fract_z
Ho1 Ho 0.000 0.000 0.000
Ho2 Ho 0.000 0.500 0.486
Zn1 Zn 0.500 0.000 0.321
In1 In 0.500 0.000 0.643
In2 In 0.500 0.500 0.171
In3 In 0.500 0.500 0.829
```

Computed properties:
Final energy (Ha/atom): -0.1286
Total magnetic moment (Bohr magnetons per cell): 0.00
Formation enthalpy at 0 K (eV per formula unit): -2.36
Excess energy over the best structure of this formula in the dataset (meV per atom): 4


VASP calculation (GGA-PBE) on a relaxed HoZn2In crystal.

Structure (CIF):
```
data_HoZn2In
_cell_length_a 5.629
_cell_length_b 9.720
_cell_length_c 3.195
_cell_angle_alpha 90.00
_cell_angle_beta 90.00
_cell_angle_gamma 90.00
_symmetry_space_group_name_H-M 'C m m m'
_symmetry_Int_Tables_number 65
_symmetry_space_group_name_Hall '-C 2 2'
loop_
_atom_site_label
_atom_site_type_symbol
_atom_site_fract_x
_atom_site_fract_y
_atom_site_fract_z
Ho1 Ho 0.000 0.000 0.000
Zn1 Zn 0.250 0.250 0.500
In1 In 0.000 0.500 0.500
```

Computed properties:
Final energy (Ha/atom): -0.0972
Total magnetic moment (Bohr magnetons per cell): 0.00
Formation enthalpy at 0 K (eV per formula unit): -0.72


VASP calculation (GGA-PBE) on a relaxed Ho2ZnIn3 crystal.

Structure (CIF):
```
data_Ho2ZnIn3
_cell_length_a 7.060
_cell_length_b 9.678
_cell_length_c 16.739
_cell_angle_alpha 90.00
_cell_angle_beta 90.00
_cell_angle_gamma 90.00
_symmetry_space_group_name_H-M 'F m m m'
_symmetry_Int_Tables_number 69
_symmetry_space_group_name_Hall '-F 2 2'
loop_
_atom_site_label
_atom_site_type_symbol
_atom_site_fract_x
_atom_site_fract_y
_atom_site_fract_z
Ho1 Ho 0.250 0.000 0.000
Ho2 Ho 0.250 0.250 0.250
Zn1 Zn 0.000 0.000 0.167
In1 In 0.000 0.000 0.328
In2 In 0.000 0.243 0.086
```

Computed properties:
Final energy (Ha/atom): -0.1288
Total magnetic moment (Bohr magnetons per cell): 0.00
Formation enthalpy at 0 K (eV per formula unit): -2.39
Excess energy over the best structure of this formula in the dataset (meV per atom): 0


VASP calculation (GGA-PBE) on a relaxed Ho4ZnIn2 crystal.

Structure (CIF):
```
data_Ho4ZnIn2
_cell_length_a 5.1729
_cell_length_b 5.1729
_cell_length_c 25.2522
_cell_angle_alpha 90.00
_cell_angle_beta 90.00
_cell_angle_gamma 120.00
_symmetry_space_group_name_H-M 'R -3 m'
_symmetry_Int_Tables_number 166
_symmetry_space_group_name_Hall '-R 3 2"'
loop_
_atom_site_label
_atom_site_type_symbol
_atom_site_fract_x
_atom_site_fract_y
_atom_site_fract_z
Ho1 Ho 0.0000 0.0000 0.1240
Ho2 Ho 0.0000 0.0000 0.3747
Zn1 Zn 0.0000 0.0000 0.5000
In1 In 0.0000 0.0000 0.2503
```

Computed properties:
Final energy (Ha/atom): -0.1417
Total magnetic moment (Bohr magnetons per cell): 0.00
Formation enthalpy at 0 K (eV per formula unit): -1.93


VASP calculation (GGA-PBE) on a relaxed Ho2ZnIn crystal.

Structure (CIF):
```
data_Ho2ZnIn
_cell_length_a 3.6371
_cell_length_b 3.6371
_cell_length_c 27.7225
_cell_angle_alpha 90.00
_cell_angle_beta 90.00
_cell_angle_gamma 120.00
_symmetry_space_group_name_H-M 'R -3 m'
_symmetry_Int_Tables_number 166
_symmetry_space_group_name_Hall '-R 3 2"'
loop_
_atom_site_label
_atom_site_type_symbol
_atom_site_fract_x
_atom_site_fract_y
_atom_site_fract_z
Ho1 Ho 0.0000 0.0000 0.2447
Zn1 Zn 0.0000 0.0000 0.5000
In1 In 0.0000 0.0000 0.0000
```

Computed properties:
Final energy (Ha/atom): -0.1295
Total magnetic moment (Bohr magnetons per cell): 0.00
Formation enthalpy at 0 K (eV per formula unit): -0.93


VASP calculation (GGA-PBE) on a relaxed Ho11Zn4In9 crystal.

Structure (CIF):
```
data_Ho11Zn4In9
_cell_length_a 14.562
_cell_length_b 21.918
_cell_length_c 3.704
_cell_angle_alpha 90.00
_cell_angle_beta 90.00
_cell_angle_gamma 90.00
_symmetry_space_group_name_H-M 'C m m m'
_symmetry_Int_Tables_number 65
_symmetry_space_group_name_Hall '-C 2 2'
loop_
_atom_site_label
_atom_site_type_symbol
_atom_site_fract_x
_atom_site_fract_y
_atom_site_fract_z
Ho1 Ho 0.000 0.000 0.000
Ho2 Ho 0.000 0.161 0.000
Ho3 Ho 0.000 0.369 0.000
Ho4 Ho 0.198 0.500 0.000
Ho5 Ho 0.239 0.173 0.000
Zn1 Zn 0.150 0.400 0.500
In1 In 0.000 0.500 0.500
In2 In 0.107 0.263 0.500
In3 In 0.143 0.073 0.500
```

Computed properties:
Final energy (Ha/atom): -0.1384
Total magnetic moment (Bohr magnetons per cell): 0.00
Formation enthalpy at 0 K (eV per formula unit): -10.29


VASP calculation (GGA-PBE) on a relaxed Ho2ZnIn2 crystal.

Structure (CIF):
```
data_Ho2ZnIn2
_cell_length_a 3.477
_cell_length_b 4.617
_cell_length_c 14.938
_cell_angle_alpha 90.00
_cell_angle_beta 90.00
_cell_angle_gamma 90.00
_symmetry_space_group_name_H-M 'A m m 2'
_symmetry_Int_Tables_number 38
_symmetry_space_group_name_Hall 'A 2 -2'
loop_
_atom_site_label
_atom_site_type_symbol
_atom_site_fract_x
_atom_site_fract_y
_atom_site_fract_z
Ho1 Ho 0.000 0.000 0.000
Ho2 Ho 0.000 0.000 0.232
Zn1 Zn 0.500 0.000 0.418
In1 In 0.500 0.000 0.612
In2 In 0.500 0.000 0.820
```

Computed properties:
Final energy (Ha/atom): -0.1321
Total magnetic moment (Bohr magnetons per cell): 0.00
Formation enthalpy at 0 K (eV per formula unit): -2.06
Excess energy over the best structure of this formula in the dataset (meV per atom): 0


VASP calculation (GGA-PBE) on a relaxed Ho7Zn2In2 crystal.

Structure (CIF):
```
data_Ho7Zn2In2
_cell_length_a 7.749
_cell_length_b 11.063
_cell_length_c 7.420
_cell_angle_alpha 90.00
_cell_angle_beta 90.00
_cell_angle_gamma 90.00
_symmetry_space_group_name_H-M 'C m m m'
_symmetry_Int_Tables_number 65
_symmetry_space_group_name_Hall '-C 2 2'
loop_
_atom_site_label
_atom_site_type_symbol
_atom_site_fract_x
_atom_site_fract_y
_atom_site_fract_z
Ho1 Ho 0.000 0.000 0.000
Ho2 Ho 0.000 0.500 0.240
Ho3 Ho 0.250 0.250 0.274
Zn1 Zn 0.000 0.288 0.000
In1 In 0.181 0.000 0.500
```

Computed properties:
Final energy (Ha/atom): -0.1356
Total magnetic moment (Bohr magnetons per cell): 0.00
Formation enthalpy at 0 K (eV per formula unit): -0.52


VASP calculation (GGA-PBE) on a relaxed Ho12ZnIn3 crystal.

Structure (CIF):
```
data_Ho12ZnIn3
_cell_length_a 4.803
_cell_length_b 4.803
_cell_length_c 19.165
_cell_angle_alpha 90.00
_cell_angle_beta 90.00
_cell_angle_gamma 90.00
_symmetry_space_group_name_H-M 'P 4/m m m'
_symmetry_Int_Tables_number 123
_symmetry_space_group_name_Hall '-P 4 2'
loop_
_atom_site_label
_atom_site_type_symbol
_atom_site_fract_x
_atom_site_fract_y
_atom_site_fract_z
Ho1 Ho 0.000 0.000 0.000
Ho2 Ho 0.000 0.000 0.247
Ho3 Ho 0.000 0.000 0.500
Ho4 Ho 0.000 0.500 0.120
Ho5 Ho 0.000 0.500 0.374
Zn1 Zn 0.500 0.500 0.000
In1 In 0.500 0.500 0.247
In2 In 0.500 0.500 0.500
```

Computed properties:
Final energy (Ha/atom): -0.1554
Total magnetic moment (Bohr magnetons per cell): 0.06
Formation enthalpy at 0 K (eV per formula unit): -3.25


VASP calculation (GGA-PBE) on a relaxed HoZnIn2 crystal.

Structure (CIF):
```
data_HoZnIn2
_cell_length_a 4.484
_cell_length_b 4.484
_cell_length_c 4.496
_cell_angle_alpha 90.00
_cell_angle_beta 90.00
_cell_angle_gamma 90.00
_symmetry_space_group_name_H-M 'P 4/m m m'
_symmetry_Int_Tables_number 123
_symmetry_space_group_name_Hall '-P 4 2'
loop_
_atom_site_label
_atom_site_type_symbol
_atom_site_fract_x
_atom_site_fract_y
_atom_site_fract_z
Ho1 Ho 0.000 0.000 0.000
Zn1 Zn 0.500 0.500 0.000
In1 In 0.000 0.500 0.500
```

Computed properties:
Final energy (Ha/atom): -0.1170
Total magnetic moment (Bohr magnetons per cell): 0.00
Formation enthalpy at 0 K (eV per formula unit): -1.40


VASP calculation (GGA-PBE) on a relaxed Ho6ZnIn2 crystal.

Structure (CIF):
```
data_Ho6ZnIn2
_cell_length_a 5.077
_cell_length_b 7.211
_cell_length_c 15.212
_cell_angle_alpha 90.00
_cell_angle_beta 90.00
_cell_angle_gamma 90.00
_symmetry_space_group_name_H-M 'I m m m'
_symmetry_Int_Tables_number 71
_symmetry_space_group_name_Hall '-I 2 2'
loop_
_atom_site_label
_atom_site_type_symbol
_atom_site_fract_x
_atom_site_fract_y
_atom_site_fract_z
Ho1 Ho 0.000 0.235 0.000
Ho2 Ho 0.000 0.257 0.339
Zn1 Zn 0.000 0.500 0.500
In1 In 0.000 0.500 0.166
```

Computed properties:
Final energy (Ha/atom): -0.1412
Total magnetic moment (Bohr magnetons per cell): 0.00
Formation enthalpy at 0 K (eV per formula unit): -0.37


VASP calculation (GGA-PBE) on a relaxed Ho2Zn3In crystal.

Structure (CIF):
```
data_Ho2Zn3In
_cell_length_a 7.099
_cell_length_b 9.140
_cell_length_c 15.833
_cell_angle_alpha 90.00
_cell_angle_beta 90.00
_cell_angle_gamma 90.00
_symmetry_space_group_name_H-M 'F m m m'
_symmetry_Int_Tables_number 69
_symmetry_space_group_name_Hall '-F 2 2'
loop_
_atom_site_label
_atom_site_type_symbol
_atom_site_fract_x
_atom_site_fract_y
_atom_site_fract_z
Ho1 Ho 0.243 0.000 0.000
Ho2 Ho 0.250 0.250 0.250
Zn1 Zn 0.000 0.000 0.162
Zn2 Zn 0.000 0.244 0.081
In1 In 0.000 0.000 0.335
```

Computed properties:
Final energy (Ha/atom): -0.1107
Total magnetic moment (Bohr magnetons per cell): 0.00
Formation enthalpy at 0 K (eV per formula unit): -2.36
Excess energy over the best structure of this formula in the dataset (meV per atom): 0